DFT (PBE) results for crystalline Na3CdHg at its relaxed geometry.

The structure in POSCAR format:
```
Na3CdHg
1.0
-2.479 5.570 -0.229
-3.375 -1.692 -4.631
-4.741 -4.148 4.971
Na Cd Hg
6 2 2
direct
0.534 0.250 0.144
0.664 0.250 0.590
0.000 0.000 0.000
0.466 0.750 0.856
0.336 0.750 0.410
0.000 0.500 0.000
0.934 0.750 0.635
0.066 0.250 0.365
0.223 0.250 0.738
0.777 0.750 0.262
```

Computed properties:
SG: P2_1/m
ΔE to the lowest computed polymorph, eV/atom: 0.0000
E, Ry/atom: -0.08433
DFT formation energy, kcal/mol of atoms: -2.60